# 1
## Cu3B7BrO13 (GGA-PBEsol)

Data for a relaxed structure of Cu3B7BrO13.

Properties
The symmetry is F-43c (219). Its raw formation energy is -1.92 eV per atom.

Cell: 8.449 8.449 8.449 Å, 60.00 60.00 60.00°
Fractional positions:
Cu: 0.250 0.250 0.750
Cu: 0.250 0.750 0.250
Cu: 0.250 0.750 0.750
Cu: 0.750 0.250 0.250
Cu: 0.750 0.250 0.750
Cu: 0.750 0.750 0.250
B: 0.000 0.000 0.500
B: 0.000 0.500 0.000
B: 0.000 0.500 0.500
B: 0.008 0.331 0.331
B: 0.331 0.008 0.331
B: 0.331 0.331 0.008
B: 0.331 0.331 0.331
B: 0.500 0.000 0.000
B: 0.500 0.000 0.500
B: 0.500 0.500 0.000
B: 0.508 0.831 0.831
B: 0.831 0.508 0.831
B: 0.831 0.831 0.508
B: 0.831 0.831 0.831
Br: 0.000 0.000 0.000
Br: 0.500 0.500 0.500
O: 0.013 0.454 0.847
O: 0.013 0.686 0.454
O: 0.013 0.847 0.686
O: 0.186 0.347 0.513
O: 0.186 0.513 0.954
O: 0.186 0.954 0.347
O: 0.250 0.250 0.250
O: 0.347 0.186 0.954
O: 0.347 0.513 0.186
O: 0.347 0.954 0.513
O: 0.454 0.013 0.686
O: 0.454 0.686 0.847
O: 0.454 0.847 0.013
O: 0.513 0.186 0.347
O: 0.513 0.347 0.954
O: 0.513 0.954 0.186
O: 0.686 0.013 0.847
O: 0.686 0.454 0.013
O: 0.686 0.847 0.454
O: 0.750 0.750 0.750
O: 0.847 0.013 0.454
O: 0.847 0.454 0.686
O: 0.847 0.686 0.013
O: 0.954 0.186 0.513
O: 0.954 0.347 0.186
O: 0.954 0.513 0.347

# 2
## BHBrF2 (GGA-PBEsol)

Data for a relaxed structure of BHBrF2.

Properties
The calculation puts the energy at -2.967 eV per atom. The symmetry is P4/mmm (123).

Cell: 3.186 3.186 5.072 Å, 90.00 90.00 90.00°
Fractional positions:
B: 0.000 0.000 0.000
H: 0.000 0.000 0.500
Br: 0.500 0.500 0.000
F: 0.000 0.500 0.500
F: 0.500 0.000 0.500